Sr2SiBr (GGA-PBE, optimized geometry); excess energy over the best structure of this formula in the dataset = 0.84 eV per formula unit; symmetry = Fm-3m (225); raw total energy = -0.12274 Ha/atom; uncorrected formation energy = -2.9 eV per formula unit; size of the total moment = 0.250 μB per atom
1.0
7.8540 0.0000 0.0000
0.0000 7.8540 0.0000
0.0000 0.0000 7.8540
Sr Si Br
8 4 4
direct
0.2500 0.2500 0.2500
0.2500 0.2500 0.7500
0.2500 0.7500 0.2500
0.2500 0.7500 0.7500
0.7500 0.2500 0.2500
0.7500 0.2500 0.7500
0.7500 0.7500 0.2500
0.7500 0.7500 0.7500
0.0000 0.0000 0.0000
0.0000 0.5000 0.5000
0.5000 0.0000 0.5000
0.5000 0.5000 0.0000
0.0000 0.0000 0.5000
0.0000 0.5000 0.0000
0.5000 0.0000 0.0000
0.5000 0.5000 0.5000